(1)
AcDy8Tm6 | PBE-GGA | relaxed

Structure (extended XYZ):
```
15
Lattice="7.880 0.325 2.152 1.726 7.696 2.152 0.389 0.325 8.160" Properties=species:S:1:pos:R:3 pbc="T T T"
Dy 2.391 1.997 2.982
Dy 5.438 1.600 9.327
Dy 7.604 6.349 9.482
Tm 7.392 3.407 7.223
Dy 2.988 7.511 7.335
Tm 2.603 4.938 5.241
Tm 3.960 1.680 6.335
Tm 4.324 4.749 8.784
Ac 0.000 0.000 0.000
Tm 6.035 6.665 6.129
Tm 5.671 3.596 3.680
Dy 1.443 3.280 7.954
Dy 8.552 5.065 4.510
Dy 4.557 6.745 3.137
Dy 7.007 0.835 5.130
```

Results
**Formation energy**: 0.24 eV per atom
**Total DFT energy (no corrections)**: -64.22 eV/f.u.
**Space-group type**: R-3 (148)


(2)
AcDy3Tm4 | PBE-GGA | relaxed

Structure (extended XYZ):
```
8
Lattice="3.060 -0.946 1.476 -0.253 8.663 1.879 0.638 -2.153 9.921" Properties=species:S:1:pos:R:3 pbc="T T T"
Tm 2.362 -0.874 7.175
Dy 2.361 1.001 4.173
Ac 1.530 -0.473 0.738
Tm 1.083 6.437 6.101
Tm 1.622 1.189 10.031
Dy 0.193 3.255 5.900
Dy 1.084 4.562 9.103
Tm 1.823 4.374 3.245
```

Results
**Formation energy**: 0.13 eV per atom
**Total DFT energy (no corrections)**: -34.73 eV/f.u.
**Space-group type**: Immm (71)


(3)
AcDy4Tm4 | PBE-GGA | relaxed

Structure (extended XYZ):
```
18
Lattice="-7.289 0.723 4.666 8.886 -3.561 1.267 0.749 10.995 0.581" Properties=species:S:1:pos:R:3 pbc="T T T"
Dy 3.681 -0.850 2.669
Tm 6.773 2.718 2.917
Tm 4.340 5.179 3.634
Dy 1.089 5.178 1.968
Dy -1.334 9.007 3.845
Dy 3.640 7.379 1.104
Ac 0.417 8.569 0.780
Tm -1.993 2.978 2.880
Tm -4.485 0.465 3.975
Dy -1.293 0.778 5.410
Tm 3.559 2.472 1.531
Dy 0.511 0.274 2.498
Dy 1.257 2.979 4.546
Dy 1.836 7.884 4.016
Tm -1.212 5.686 4.983
Ac 1.930 -0.411 5.735
Tm -4.426 5.439 3.597
Tm 6.832 7.693 2.539
```

Results
**Formation energy**: 0.05 eV per atom
**Total DFT energy (no corrections)**: -39.91 eV/f.u.
**Space-group type**: P-1 (2)


(4)
Ac2DyTm | PBE-GGA | relaxed

Structure (extended XYZ):
```
4
Lattice="3.887 0.000 0.000 0.000 3.887 0.000 0.000 0.000 9.848" Properties=species:S:1:pos:R:3 pbc="T T T"
Ac 0.000 0.000 2.437
Dy 1.943 1.943 4.924
Tm 1.943 1.943 0.000
Ac 0.000 0.000 7.411
```

Results
**Formation energy**: 0.06 eV per atom
**Total DFT energy (no corrections)**: -17.07 eV/f.u.
**Space-group type**: P4/mmm (123)


(5)
AcDy8Tm2 | PBE-GGA | relaxed

Structure (extended XYZ):
```
11
Lattice="5.448 -0.455 -0.318 0.452 9.946 2.685 0.452 5.944 8.415" Properties=species:S:1:pos:R:3 pbc="T T T"
Tm 1.991 11.244 7.854
Dy 1.802 8.591 6.001
Dy 1.800 6.565 2.617
Dy 4.900 12.505 8.735
Dy 1.800 4.716 5.264
Tm 4.361 4.191 2.928
Dy 4.552 10.719 5.518
Dy 4.552 8.870 8.165
Dy 4.550 6.844 4.781
Ac 0.000 0.000 0.000
Dy 1.452 2.930 2.047
```

Results
**Formation energy**: 0.13 eV per atom
**Total DFT energy (no corrections)**: -48.49 eV/f.u.
**Space-group type**: C2/m (12)


(6)
AcDyTm6 | PBE-GGA | relaxed

Structure (extended XYZ):
```
8
Lattice="-1.031 -1.680 -4.595 9.643 1.199 -2.603 -3.828 -5.322 2.805" Properties=species:S:1:pos:R:3 pbc="T T T"
Ac 5.567 -2.945 -0.173
Tm 2.573 -4.089 -1.803
Tm 2.658 -0.882 -0.274
Tm -0.253 -2.090 -1.899
Dy 4.541 -1.355 -3.244
Tm 0.744 -3.537 1.126
Tm -2.115 -4.672 -0.537
Tm 7.483 -0.282 -1.576
```

Results
**Formation energy**: 0.05 eV per atom
**Total DFT energy (no corrections)**: -35.12 eV/f.u.
**Space-group type**: Amm2 (38)


(7)
AcDy2Tm3 | PBE-GGA | relaxed

Structure (extended XYZ):
```
12
Lattice="6.669 0.515 -0.517 -1.110 6.596 -0.517 -0.544 -0.696 8.939" Properties=species:S:1:pos:R:3 pbc="T T T"
Dy 5.301 2.866 0.484
Dy -0.286 3.550 7.422
Dy 1.230 5.488 4.954
Tm 4.505 4.341 3.665
Tm 2.854 5.072 8.135
Tm 2.018 3.871 1.718
Dy 3.786 0.927 2.952
Ac -0.645 5.952 1.718
Ac 5.660 0.463 6.188
Tm 2.161 1.343 -0.229
Tm 2.998 2.544 6.188
Tm 0.510 2.074 4.241
```

Results
**Formation energy**: 0.11 eV per atom
**Total DFT energy (no corrections)**: -26.05 eV/f.u.
**Space-group type**: C2/c (15)


(8)
AcDy12Tm6 | PBE-GGA | relaxed

Structure (extended XYZ):
```
19
Lattice="-0.281 -7.327 -5.559 8.745 0.976 2.691 -4.877 -2.151 7.500" Properties=species:S:1:pos:R:3 pbc="T T T"
Dy -0.597 -3.461 1.162
Dy 4.184 -5.041 3.471
Dy 2.464 -2.759 0.081
Tm 2.625 -2.807 5.610
Tm -1.231 -6.354 2.085
Tm -1.001 -3.484 4.602
Dy 2.156 -6.907 1.617
Dy 0.010 -2.242 7.384
Dy 3.577 -6.260 -2.752
Tm 0.962 -5.695 -0.977
Ac 0.000 0.000 0.000
Dy -3.493 -5.465 4.183
Tm 4.818 -2.148 2.547
Tm 4.588 -5.018 0.031
Dy 5.296 -1.029 5.518
Dy 7.080 -3.038 0.450
Dy 1.431 -1.596 3.015
Dy 1.124 -5.744 4.551
Dy -1.709 -7.473 -0.885
```

Results
**Formation energy**: 0.41 eV per atom
**Total DFT energy (no corrections)**: -78.30 eV/f.u.
**Space-group type**: R-3m (166)